Record 1
The following is a DFT calculation (PBE) of an optimized crystal structure of Sr2La6Cu3IrO16.

Results
The uncorrected energy is -0.2638 hartree per atom.

Structure (CIF):
```
data_Sr2La6Cu3IrO16
_chemical_formula_sum 'Sr4 La12 Cu6 Ir2 O32'
_cell_length_a 17.163
_cell_length_b 5.386
_cell_length_c 11.136
_cell_angle_alpha 90.00
_cell_angle_beta 130.08
_cell_angle_gamma 90.00
_symmetry_space_group_name_H-M 'C 1 2/m 1'
_symmetry_Int_Tables_number 12
_symmetry_space_group_name_Hall '-C 2y'
loop_
_atom_site_label
_atom_site_type_symbol
_atom_site_fract_x
_atom_site_fract_y
_atom_site_fract_z
Sr1 Sr 0.137 0.000 0.156
La1 La 0.140 0.500 0.399
La2 La 0.142 0.500 0.871
La3 La 0.143 0.000 0.638
Cu1 Cu 0.000 0.500 0.500
Cu2 Cu 0.001 0.000 0.751
Ir1 Ir 0.000 0.500 0.000
O1 O 0.005 0.246 0.382
O2 O 0.031 0.252 0.902
O3 O 0.156 0.500 0.201
O4 O 0.181 0.500 0.685
O5 O 0.184 0.000 0.439
O6 O 0.197 0.000 0.892
```

---

Record 2
The following is a DFT calculation (PBE) of an optimized crystal structure of La2CuP3Ir4.

Results
The formation energy comes out at -0.876 eV/atom. The uncorrected energy is -0.2734 hartree per atom.

Structure (CIF):
```
data_La2CuP3Ir4
_chemical_formula_sum 'La2 Cu1 P3 Ir4'
_cell_length_a 4.159
_cell_length_b 4.159
_cell_length_c 9.961
_cell_angle_alpha 90.00
_cell_angle_beta 90.00
_cell_angle_gamma 90.00
_symmetry_space_group_name_H-M 'P -4 m 2'
_symmetry_Int_Tables_number 115
_symmetry_space_group_name_Hall 'P -4 -2'
loop_
_atom_site_label
_atom_site_type_symbol
_atom_site_fract_x
_atom_site_fract_y
_atom_site_fract_z
La1 La 0.000 0.500 0.242
Cu1 Cu 0.500 0.500 0.000
P1 P 0.000 0.000 0.000
P2 P 0.000 0.500 0.636
Ir1 Ir 0.000 0.000 0.500
Ir2 Ir 0.000 0.500 0.868
Ir3 Ir 0.500 0.500 0.500
```